VASP calculation (PBE) on an optimized crystal structure of Tl2HgPd2.

Computed properties:
DOS at the Fermi energy in states/eV/cell: 3.71
Energy above the lowest structure with this stoichiometry in meV/atom: 103
Spin magnetization in μB per formula unit: 0.0
DFT formation energy in eV per formula unit: -0.03

Unit cell a=8.398 b=8.398 c=3.079 alpha=90.00 beta=90.00 gamma=90.00
Sites, in units of the cell vectors:
Tl: 0.330 0.830 0.000
Tl: 0.670 0.170 0.000
Tl: 0.830 0.670 0.000
Tl: 0.170 0.330 0.000
Hg: 0.500 0.500 0.000
Hg: 0.000 0.000 0.000
Pd: 0.376 0.124 0.500
Pd: 0.124 0.624 0.500
Pd: 0.876 0.376 0.500
Pd: 0.624 0.876 0.500